Model 1:
Computed, not measured: RbYMg3 after structural relaxation at the PBE-GGA level of DFT.

Summary:
Crystal system = cubic
Space-group type = Pm-3m, No. 221
Calculated density = 1.728 Mg/m³

Cell and atoms, written as extended XYZ:
```
5
Lattice="-4.252 2.604 3.676 1.995 -3.444 4.747 4.039 4.442 1.526" Properties=species:S:1:pos:R:3 pbc="T T T"
Y 0.000 0.000 0.000
Mg 2.019 2.221 0.763
Mg -2.126 1.302 1.838
Mg 0.997 -1.722 2.373
Rb 0.891 1.801 4.974
```


Model 2:
Computed, not measured: RbYMg3 after structural relaxation at the PBE-GGA level of DFT.

Summary:
Crystal system = cubic
Space-group type = Pm-3m, No. 221
Calculated density = 2.237 Mg/m³

Cell and atoms, written as extended XYZ:
```
5
Lattice="-1.846 5.048 1.845 1.815 -1.251 5.238 5.059 2.291 -1.206" Properties=species:S:1:pos:R:3 pbc="T T T"
Mg 0.907 -0.625 2.619
Mg -0.923 2.524 0.922
Mg 2.530 1.146 -0.603
Rb 0.000 0.000 0.000
Y 2.514 3.044 2.939
```


Stability verdict: model 1, ahead by 440 meV/atom


Model 1:
Computed, not measured: RbYMg6 after structural relaxation at the PBE-GGA level of DFT.

Summary:
Crystal system = orthorhombic
Space-group type = Cmmm, No. 65
Calculated density = 2.249 Mg/m³

Cell and atoms, written as extended XYZ:
```
8
Lattice="-7.042 -0.588 0.352 0.649 -4.764 5.190 -0.129 3.470 3.201" Properties=species:S:1:pos:R:3 pbc="T T T"
Mg -2.398 -0.684 0.644
Mg -2.042 -3.303 3.497
Mg -6.271 -1.007 0.837
Mg -0.706 -0.125 3.590
Mg -3.899 -2.798 6.359
Mg -5.913 -3.627 3.691
Rb -4.224 -0.418 3.766
Y -0.376 -2.508 6.187
```


Model 2:
Computed, not measured: RbYMg6 after structural relaxation at the PBE-GGA level of DFT.

Summary:
Crystal system = orthorhombic
Space-group type = Amm2, No. 38
Calculated density = 2.326 Mg/m³

Cell and atoms, written as extended XYZ:
```
8
Lattice="-4.957 2.843 4.057 -1.794 -3.433 -5.840 -0.338 -4.579 2.796" Properties=species:S:1:pos:R:3 pbc="T T T"
Mg -2.279 -5.096 -3.453
Mg -4.512 -3.817 -1.629
Mg -1.469 -3.551 -0.825
Mg -2.220 0.897 1.201
Mg -5.585 0.603 0.313
Mg -3.113 -0.816 -1.713
Rb -4.695 2.322 3.235
Y -3.808 -2.062 1.329
```


Stability verdict: model 2, ahead by 22 meV/atom


Model 1:
Computed, not measured: RbMgZn3 after structural relaxation at the PBE-GGA level of DFT.

Summary:
Crystal system = cubic
Space-group type = Pm-3m, No. 221
Calculated density = 1.810 Mg/m³

Cell and atoms, written as extended XYZ:
```
5
Lattice="6.547 0.000 0.000 0.000 6.547 0.000 0.000 0.000 6.547" Properties=species:S:1:pos:R:3 pbc="T T T"
Zn 3.274 0.000 0.000
Zn 0.000 3.274 0.000
Zn 0.000 0.000 3.274
Rb 0.000 0.000 0.000
Mg 3.274 3.274 3.274
```


Model 2:
Computed, not measured: RbMgZn3 after structural relaxation at the PBE-GGA level of DFT.

Summary:
Crystal system = cubic
Space-group type = Pm-3m, No. 221
Calculated density = 3.244 Mg/m³

Cell and atoms, written as extended XYZ:
```
5
Lattice="5.390 0.000 0.000 0.000 5.390 0.000 0.000 0.000 5.390" Properties=species:S:1:pos:R:3 pbc="T T T"
Zn 0.000 2.695 0.000
Zn 0.000 0.000 2.695
Zn 2.695 0.000 0.000
Rb 2.695 2.695 2.695
Mg 0.000 0.000 0.000
```


Stability verdict: model 2, ahead by 582 meV/atom


Model 1:
Computed, not measured: Rb2MgZn2 after structural relaxation at the PBE-GGA level of DFT.

Summary:
Crystal system = tetragonal
Space-group type = P4/mbm, No. 127
Calculated density = 3.017 Mg/m³

Cell and atoms, written as extended XYZ:
```
10
Lattice="-5.322 0.481 -5.708 -0.202 -7.802 -0.469 -4.298 -0.129 3.997" Properties=species:S:1:pos:R:3 pbc="T T T"
Zn -2.188 -6.667 -2.568
Zn -4.798 -4.432 -5.302
Zn -3.336 -0.654 -3.609
Zn -0.727 -2.889 -0.874
Mg 0.000 0.000 0.000
Mg -2.762 -3.661 -3.088
Rb -3.255 -5.297 0.641
Rb -3.879 -1.330 0.097
Rb -6.568 -2.153 -2.821
Rb -5.943 -6.120 -2.277
```


Model 2:
Computed, not measured: Rb2MgZn2 after structural relaxation at the PBE-GGA level of DFT.

Summary:
Crystal system = tetragonal
Space-group type = I4/mmm, No. 139
Calculated density = 2.646 Mg/m³

Cell and atoms, written as extended XYZ:
```
5
Lattice="7.118 0.000 0.000 0.000 7.118 0.000 3.559 3.559 4.039" Properties=species:S:1:pos:R:3 pbc="T T T"
Rb 3.559 7.118 2.019
Rb 7.118 3.559 2.019
Mg 0.000 0.000 0.000
Zn 3.559 3.559 1.254
Zn 7.118 7.118 2.785
```


Stability verdict: model 1, ahead by 58 meV/atom


Model 1:
Computed, not measured: RbMg14Zn after structural relaxation at the PBE-GGA level of DFT.

Summary:
Crystal system = orthorhombic
Space-group type = Amm2, No. 38
Calculated density = 2.072 Mg/m³

Cell and atoms, written as extended XYZ:
```
16
Lattice="3.217 -5.731 0.000 3.217 5.731 0.000 0.000 0.000 10.673" Properties=species:S:1:pos:R:3 pbc="T T T"
Mg 4.853 0.889 8.109
Mg 1.582 0.889 2.564
Mg 3.217 -2.020 2.876
Mg 4.824 -0.730 5.336
Mg 1.611 -0.730 5.336
Mg 3.217 3.862 8.217
Mg 3.217 -3.839 0.000
Mg 4.775 -0.985 0.000
Mg 1.660 -0.985 0.000
Mg 3.217 -2.020 7.797
Mg 3.217 1.880 0.000
Mg 3.217 3.862 2.456
Mg 1.582 0.889 8.109
Mg 4.853 0.889 2.564
Zn 3.217 -4.033 5.336
Rb 3.217 2.180 5.336
```


Model 2:
Computed, not measured: RbMg14Zn after structural relaxation at the PBE-GGA level of DFT.

Summary:
Crystal system = hexagonal
Space-group type = P-6m2, No. 187
Calculated density = 2.080 Mg/m³

Cell and atoms, written as extended XYZ:
```
16
Lattice="3.027 5.643 -1.026 -6.477 -0.204 0.270 0.389 1.721 10.617" Properties=species:S:1:pos:R:3 pbc="T T T"
Rb 0.194 0.861 5.308
Mg -4.580 2.104 8.225
Mg -4.718 3.452 5.068
Mg -3.289 3.973 1.989
Mg -1.688 2.743 -0.383
Mg -3.079 4.901 7.716
Mg -3.046 0.815 5.434
Mg 0.146 4.966 7.250
Mg -1.579 1.276 2.363
Mg -1.579 3.551 4.937
Mg 1.475 2.842 -0.515
Mg -0.039 4.144 2.179
Mg -0.210 5.499 -0.884
Mg -1.369 2.205 8.091
Mg -4.790 1.175 2.497
Zn 0.000 0.000 0.000
```


Stability verdict: model 1, ahead by 11 meV/atom


Model 1:
Computed, not measured: Mg3Re after structural relaxation at the PBE-GGA level of DFT.

Summary:
Crystal system = orthorhombic
Space-group type = Cmcm, No. 63
Calculated density = 5.064 Mg/m³

Cell and atoms, written as extended XYZ:
```
8
Lattice="-5.675 -1.902 -1.434 0.992 -4.678 3.873 -1.674 2.444 3.381" Properties=species:S:1:pos:R:3 pbc="T T T"
Re -3.097 -3.153 2.241
Re -3.259 -0.983 3.580
Mg -3.443 -3.253 5.130
Mg -1.749 1.139 2.793
Mg -2.913 -0.883 0.690
Mg -5.652 -2.333 3.372
Mg -4.607 -5.275 3.027
Mg -0.705 -1.803 2.449
```


Model 2:
Computed, not measured: Mg3Re after structural relaxation at the PBE-GGA level of DFT.

Summary:
Crystal system = cubic
Space-group type = Pm-3n, No. 223
Calculated density = 5.885 Mg/m³

Cell and atoms, written as extended XYZ:
```
8
Lattice="5.268 0.000 0.000 0.000 5.268 0.000 0.000 0.000 5.268" Properties=species:S:1:pos:R:3 pbc="T T T"
Mg 2.634 0.000 3.951
Mg 2.634 0.000 1.317
Mg 1.317 2.634 0.000
Mg 0.000 1.317 2.634
Mg 0.000 3.951 2.634
Mg 3.951 2.634 0.000
Re 0.000 0.000 0.000
Re 2.634 2.634 2.634
```


Stability verdict: model 1, ahead by 155 meV/atom